A geometry-optimized Mg2HgSe structure, computed with PBE-GGA.

Cell lengths 4.658, 4.658, 8.049 Å; angles 90.00, 90.00, 90.00 degrees
Space group I4/mmm (No. 139)
Asymmetric unit:
Mg  0.000  0.500  0.250
Hg  0.000  0.000  0.000
Se  0.000  0.000  0.500

Results
Energy above the lowest structure with this stoichiometry in eV/atom: 0.236
V in Å³/cell: 174.67

=====

A geometry-optimized Li3TlIn12 structure, computed with PBE-GGA.

Cell lengths 4.646, 4.646, 18.457 Å; angles 90.00, 90.00, 90.00 degrees
Space group P4/mmm (No. 123)
Asymmetric unit:
Li  0.000  0.000  0.000
Li  0.000  0.000  0.239
Tl  0.000  0.000  0.500
In  0.000  0.500  0.121
In  0.000  0.500  0.360
In  0.500  0.500  0.000
In  0.500  0.500  0.240
In  0.500  0.500  0.500

Results
ΔE_f in meV/atom: -93
V in Å³/cell: 398.48

=====

A geometry-optimized CoTe2Se structure, computed with PBE-GGA.

Cell lengths 7.042, 7.042, 7.042 Å; angles 90.00, 90.00, 90.00 degrees
Space group F-43m (No. 216)
Asymmetric unit:
Co  0.000  0.000  0.000
Te  0.000  0.000  0.500
Te  0.250  0.250  0.750
Se  0.250  0.250  0.250

Results
Uncorrected energy in eV per atom: -3.561
V in Å³/cell: 349.21

=====

A geometry-optimized CaZn2Ag5Sn structure, computed with PBE-GGA.

Cell lengths 4.889, 4.889, 7.788 Å; angles 90.00, 90.00, 90.00 degrees
Space group P4/mmm (No. 123)
Asymmetric unit:
Ca  0.000  0.000  0.000
Zn  0.500  0.500  0.346
Ag  0.000  0.500  0.238
Ag  0.500  0.500  0.000
Sn  0.000  0.000  0.500

Results
ΔE_f in meV/atom: -7
V in Å³/cell: 186.16

=====

A geometry-optimized MnNiGe structure, computed with PBE-GGA.

Cell lengths 4.0814, 4.0814, 5.2765 Å; angles 90.00, 90.00, 120.00 degrees
Space group P6_3/mmc (No. 194)
Asymmetric unit:
Mn  0.0000  0.0000  0.0000
Ni  0.3333  0.6667  0.2500
Ge  0.3333  0.6667  0.7500

Results
ΔE_f in meV/atom: -229
V in Å³/cell: 76.12

=====

A geometry-optimized IrPb structure, computed with PBE-GGA.

Cell lengths 3.1793, 3.1793, 10.3596 Å; angles 90.00, 90.00, 120.00 degrees
Space group P-3m1 (No. 164)
Asymmetric unit:
Ir  0.3333  0.6667  0.0896
Pb  0.3333  0.6667  0.6848

Results
ΔE_f in meV/atom: 535
V in Å³/cell: 90.68

=====

| no. | calculated density (g/cm3) | total magnetic moment (μB per cell) |
| --- | --- | --- |
| 1 | 6.2 | 0.000 |
| 2 | 6.7 | 0.000 |
| 3 | 7.5 | 7.169 |
| 4 | 7.4 | 0.000 |
| 5 | 8.1 | 5.972 |
| 6 | 14.6 | 0.000 |